1.
VASP calculation (GGA-PBE) on a relaxed LiH2Pt3 crystal.

Results
As for the space-group type: Cmmm. Its magnetic moment is 0.00 μB per formula unit.

Cell lengths 4.995, 4.995, 2.847 Å; angles 90.00, 90.00, 111.44 degrees
Fractional coordinates of all 6 atoms:
1 Li 0.500 0.500 0.000
2 Pt 0.000 0.000 0.000
3 Pt 0.000 0.500 0.500
4 Pt 0.500 0.000 0.500
5 H 0.764 0.236 0.000
6 H 0.236 0.764 0.000



2.
VASP calculation (GGA-PBE) on a relaxed Li3HPt2 crystal.

Results
As for the space-group type: P-3m1. Its magnetic moment is 0.00 μB per formula unit.

Cell lengths 2.742, 2.742, 10.745 Å; angles 90.00, 90.00, 120.00 degrees
Fractional coordinates of all 6 atoms:
1 Li 0.000 0.000 0.500
2 Li 0.667 0.333 0.894
3 Li 0.333 0.667 0.106
4 Pt 0.667 0.333 0.304
5 Pt 0.333 0.667 0.696
6 H 0.000 0.000 0.000



3.
VASP calculation (GGA-PBE) on a relaxed Li3H6Pt crystal.

Results
As for the space-group type: Fm-3m. Its magnetic moment is 0.00 μB per formula unit.

Cell lengths 4.876, 4.876, 4.876 Å; angles 60.00, 60.00, 60.00 degrees
Fractional coordinates of all 10 atoms:
1 Li 0.250 0.250 0.250
2 Li 0.750 0.750 0.750
3 Li 0.500 0.500 0.500
4 H 0.245 0.755 0.755
5 H 0.755 0.755 0.245
6 H 0.755 0.245 0.245
7 H 0.755 0.245 0.755
8 H 0.245 0.245 0.755
9 H 0.245 0.755 0.245
10 Pt 0.000 0.000 0.000



4.
VASP calculation (GGA-PBE) on a relaxed Rb2LiZnH6 crystal.

Results
As for the space-group type: I4/mmm.

Cell lengths 5.650, 5.650, 5.650 Å; angles 120.15, 120.15, 89.73 degrees
Fractional coordinates of all 10 atoms:
1 Zn 0.000 0.000 0.000
2 Rb 0.250 0.750 0.500
3 Rb 0.750 0.250 0.500
4 H 0.771 0.771 0.543
5 H 0.229 0.229 0.457
6 H 0.774 0.774 0.000
7 H 0.226 0.226 0.000
8 H 0.771 0.229 0.000
9 H 0.229 0.771 0.000
10 Li 0.500 0.500 0.000



Number 1: raw total energy -0.1705 hartree per atom. Number 2: raw total energy -0.1495 hartree per atom. Number 3: raw total energy -0.1276 hartree per atom. Number 4: raw total energy -0.0929 hartree per atom.